Below is a relaxed YV2SnP crystal, with properties calculated at the GGA-PBE level.

Magnetization ... 6.3 μB/f.u.
Final energy ... -29.0 eV for the cell shown
Volume ... 131 Å³/f.u.

Lattice parameters (Å, degrees): 5.023 5.023 5.174 90.00 90.00 90.00
Space group P4/mmm (No. 123)
Symmetry-distinct sites (fractional):
Y (0.000, 0.000, 0.000) [1 per cell]
V (0.000, 0.500, 0.500) [2 per cell]
Sn (0.500, 0.500, 0.500) [1 per cell]
P (0.500, 0.500, 0.000) [1 per cell]